DyTaPO: relaxed, PBE.

a = 3.779 Å, b = 7.091 Å, c = 5.669 Å
α = 90.00°, β = 90.00°, γ = 90.00°
Space group Pmc2_1 (No. 26)
Inequivalent atoms, fractional coordinates:
1 Dy 0.000 0.216 0.000 (multiplicity 2)
2 Ta 0.500 0.404 0.502 (multiplicity 2)
3 P 0.000 0.175 0.485 (multiplicity 2)
4 O 0.500 0.324 0.858 (multiplicity 2)

Calculated values
Calculated total energy ... -0.599 Ry/atom
Calculated volume ... 18.99 Å³/atom
Crystal system ... orthorhombic
Polymorph energy (0 for the lowest one) ... 493.0 meV/atom